The following is a PBE calculation of an optimized crystal structure of DyAl12Pd4, from the Alexandria database. Values from VASP.

Volume (Å³/atom): 19.8
Calculated formation energy (eV/atom): -0.19
Raw total energy (eV per atom): -4.3208
Space group: Im-3 (204)

```
&SYSTEM
  ibrav = 0, nat = 17, ntyp = 3
/
ATOMIC_SPECIES
Dy 162.50 Dy.upf
Al 26.98 Al.upf
Pd 106.42 Pd.upf
CELL_PARAMETERS angstrom
-4.380 4.380 4.380
4.380 -4.380 4.380
4.380 4.380 -4.380
ATOMIC_POSITIONS angstrom
Dy 0.000 0.000 0.000
Al 2.993 0.000 1.372
Al 5.768 0.000 1.372
Al 4.380 3.009 -1.388
Al 1.372 2.993 0.000
Al 3.009 -1.388 4.380
Al 0.000 1.372 2.993
Al 4.380 3.009 1.388
Al 1.372 5.768 0.000
Al 3.009 1.388 4.380
Al 0.000 1.372 5.768
Al -1.388 4.380 3.009
Al 1.388 4.380 3.009
Pd 2.190 2.190 -2.190
Pd 2.190 -2.190 2.190
Pd -2.190 2.190 2.190
Pd 2.190 2.190 2.190
```


The following is a PBE calculation of an optimized crystal structure of Dy2Al5Pd3, from the Alexandria database. Values from VASP.

Distance to the lowest polymorph of the same formula (meV/atom): 4
Volume (Å³/atom): 18.3
Calculated formation energy (eV/atom): -0.79
Raw total energy (eV per atom): -5.1384
Space group: Cmc2_1 (36)

```
&SYSTEM
  ibrav = 0, nat = 20, ntyp = 3
/
ATOMIC_SPECIES
Dy 162.50 Dy.upf
Al 26.98 Al.upf
Pd 106.42 Pd.upf
CELL_PARAMETERS angstrom
2.172 -12.572 0.000
2.172 12.572 0.000
0.000 0.000 6.707
ATOMIC_POSITIONS angstrom
Dy 2.172 12.123 3.353
Dy 2.172 4.386 3.581
Dy 2.172 -4.386 0.228
Dy 2.172 -12.123 0.000
Al 2.172 10.000 5.683
Al 2.172 7.355 2.312
Al 2.172 7.271 5.007
Al 2.172 3.180 0.068
Al 2.172 1.371 4.552
Al 2.172 -1.371 1.198
Al 2.172 -3.180 3.422
Al 2.172 -7.271 1.653
Al 2.172 -7.355 5.665
Al 2.172 -10.000 2.329
Pd 2.172 9.859 1.635
Pd 2.172 5.705 0.324
Pd 2.172 1.271 1.909
Pd 2.172 -1.271 5.262
Pd 2.172 -5.705 3.678
Pd 2.172 -9.859 4.989
```


The following is a PBE calculation of an optimized crystal structure of Dy2Al5Pd4, from the Alexandria database. Values from VASP.

Volume (Å³/atom): 18.5
Calculated formation energy (eV/atom): -0.82
Raw total energy (eV per atom): -5.2486
Space group: Fmmm (69)

```
&SYSTEM
  ibrav = 0, nat = 11, ntyp = 3
/
ATOMIC_SPECIES
Dy 162.50 Dy.upf
Al 26.98 Al.upf
Pd 106.42 Pd.upf
CELL_PARAMETERS angstrom
0.000 4.623 8.147
2.706 0.000 8.147
2.706 4.623 0.000
ATOMIC_POSITIONS angstrom
Dy 2.706 4.623 2.036
Dy 2.706 4.623 14.258
Al 1.353 2.312 0.000
Al 1.353 2.312 4.074
Al 1.353 2.312 8.147
Al 2.706 4.623 8.147
Al 4.058 6.935 12.221
Pd 2.706 3.129 6.032
Pd 2.706 3.129 10.262
Pd 2.706 6.117 6.032
Pd 2.706 6.117 10.262
```


The following is a PBE calculation of an optimized crystal structure of Dy6Al2Pd, from the Alexandria database. Values from VASP.

Volume (Å³/atom): 29.2
Calculated formation energy (eV/atom): -0.18
Raw total energy (eV per atom): -4.6561
Space group: Immm (71)

```
&SYSTEM
  ibrav = 0, nat = 9, ntyp = 3
/
ATOMIC_SPECIES
Dy 162.50 Dy.upf
Al 26.98 Al.upf
Pd 106.42 Pd.upf
CELL_PARAMETERS angstrom
-2.478 3.565 7.444
2.478 -3.565 7.444
2.478 3.565 -7.444
ATOMIC_POSITIONS angstrom
Dy 2.478 1.742 -2.413
Dy 0.000 1.717 0.000
Dy 2.478 1.742 2.413
Dy 0.000 1.824 5.031
Dy 0.000 5.414 0.000
Dy 0.000 1.824 9.857
Al 2.478 0.000 4.959
Al 0.000 3.565 2.485
Pd 2.478 0.000 0.000
```


The following is a PBE calculation of an optimized crystal structure of Dy3Al4Pd2, from the Alexandria database. Values from VASP.

Volume (Å³/atom): 21.1
Calculated formation energy (eV/atom): -0.66
Raw total energy (eV per atom): -5.0090
Space group: C2/m (12)

```
&SYSTEM
  ibrav = 0, nat = 9, ntyp = 3
/
ATOMIC_SPECIES
Dy 162.50 Dy.upf
Al 26.98 Al.upf
Pd 106.42 Pd.upf
CELL_PARAMETERS angstrom
5.395 -2.166 0.000
5.395 2.166 0.000
-2.293 0.000 8.136
ATOMIC_POSITIONS angstrom
Dy 0.000 0.000 0.000
Dy 2.649 0.000 5.088
Dy 5.848 0.000 3.048
Al -0.546 0.000 5.283
Al 1.004 0.000 7.589
Al 7.493 0.000 0.547
Al 9.044 0.000 2.853
Pd 2.738 0.000 1.948
Pd 5.759 0.000 6.188
```


The following is a PBE calculation of an optimized crystal structure of Dy8AlPd2, from the Alexandria database. Values from VASP.

Volume (Å³/atom): 27.6
Calculated formation energy (eV/atom): -0.29
Raw total energy (eV per atom): -4.9188
Space group: C2/m (12)

```
&SYSTEM
  ibrav = 0, nat = 11, ntyp = 3
/
ATOMIC_SPECIES
Dy 162.50 Dy.upf
Al 26.98 Al.upf
Pd 106.42 Pd.upf
CELL_PARAMETERS angstrom
4.318 -6.793 0.000
4.318 6.793 0.000
-1.569 0.000 5.183
ATOMIC_POSITIONS angstrom
Dy 0.859 1.657 3.005
Dy 4.318 3.585 0.000
Dy 0.859 -1.657 3.005
Dy 3.047 0.000 0.972
Dy 4.021 0.000 4.211
Dy 6.209 1.657 2.179
Dy 4.318 -3.585 0.000
Dy 6.209 -1.657 2.179
Al 0.000 0.000 0.000
Pd 3.534 2.665 2.592
Pd 3.534 -2.665 2.592
```


The following is a PBE calculation of an optimized crystal structure of Dy2Al6Pd, from the Alexandria database. Values from VASP.

Volume (Å³/atom): 19.2
Calculated formation energy (eV/atom): -0.55
Raw total energy (eV per atom): -4.6407
Space group: P-3m1 (164)

```
&SYSTEM
  ibrav = 0, nat = 9, ntyp = 3
/
ATOMIC_SPECIES
Dy 162.50 Dy.upf
Al 26.98 Al.upf
Pd 106.42 Pd.upf
CELL_PARAMETERS angstrom
5.817 0.000 0.000
-2.909 5.038 0.000
0.000 0.000 5.881
ATOMIC_POSITIONS angstrom
Dy 0.000 3.358 2.132
Dy 2.909 1.679 3.749
Al 0.000 1.750 4.829
Al -1.393 4.163 4.829
Al 1.516 0.875 1.052
Al 1.393 4.163 4.829
Al 4.301 0.875 1.052
Al 2.909 3.288 1.052
Pd 0.000 0.000 2.941
```


The following is a PBE calculation of an optimized crystal structure of DyAl2Pd, from the Alexandria database. Values from VASP.

Volume (Å³/atom): 18.5
Calculated formation energy (eV/atom): -0.62
Raw total energy (eV per atom): -4.9430
Space group: P4/mmm (123)

```
&SYSTEM
  ibrav = 0, nat = 4, ntyp = 3
/
ATOMIC_SPECIES
Dy 162.50 Dy.upf
Al 26.98 Al.upf
Pd 106.42 Pd.upf
CELL_PARAMETERS angstrom
3.185 0.000 0.000
0.000 3.185 0.000
0.000 0.000 7.304
ATOMIC_POSITIONS angstrom
Dy 0.000 0.000 0.000
Al 1.593 1.593 2.209
Al 1.593 1.593 5.095
Pd 0.000 0.000 3.652
```


The following is a PBE calculation of an optimized crystal structure of DyAl3Pd, from the Alexandria database. Values from VASP.

Distance to the lowest polymorph of the same formula (meV/atom): 10
Volume (Å³/atom): 18.9
Calculated formation energy (eV/atom): -0.66
Raw total energy (eV per atom): -4.8650
Space group: P2_1/m (11)

```
&SYSTEM
  ibrav = 0, nat = 10, ntyp = 3
/
ATOMIC_SPECIES
Dy 162.50 Dy.upf
Al 26.98 Al.upf
Pd 106.42 Pd.upf
CELL_PARAMETERS angstrom
6.799 0.000 0.000
0.000 4.194 0.000
-1.799 0.000 6.613
ATOMIC_POSITIONS angstrom
Dy 1.006 1.049 1.135
Dy 3.995 3.146 5.478
Al -0.674 1.049 4.279
Al 0.546 3.146 5.952
Al 1.386 3.146 3.402
Al 3.614 1.049 3.211
Al 4.454 1.049 0.661
Al 5.674 3.146 2.334
Pd 1.735 1.049 4.890
Pd 3.265 3.146 1.723
```


The following is a PBE calculation of an optimized crystal structure of DyAlPd2, from the Alexandria database. Values from VASP.

Volume (Å³/atom): 18.6
Calculated formation energy (eV/atom): -0.92
Raw total energy (eV per atom): -5.6075
Space group: Pnma (62)

```
&SYSTEM
  ibrav = 0, nat = 16, ntyp = 3
/
ATOMIC_SPECIES
Dy 162.50 Dy.upf
Al 26.98 Al.upf
Pd 106.42 Pd.upf
CELL_PARAMETERS angstrom
7.272 0.000 0.000
0.000 7.097 0.000
0.000 0.000 5.765
ATOMIC_POSITIONS angstrom
Dy 0.203 1.774 0.875
Dy 3.433 5.323 3.757
Dy 3.839 1.774 2.008
Dy 7.069 5.323 4.891
Al 0.833 5.323 2.024
Al 2.803 1.774 4.907
Al 4.469 5.323 0.859
Al 6.439 1.774 3.742
Pd 1.339 0.360 3.381
Pd 1.339 3.189 3.381
Pd 2.297 3.908 0.498
Pd 2.297 6.738 0.498
Pd 4.975 0.360 5.267
Pd 4.975 3.189 5.267
Pd 5.933 3.908 2.385
Pd 5.933 6.738 2.385
```


The following is a PBE calculation of an optimized crystal structure of DyAlPd5, from the Alexandria database. Values from VASP.

Volume (Å³/atom): 17.2
Calculated formation energy (eV/atom): -0.78
Raw total energy (eV per atom): -5.6845
Space group: P4/mmm (123)

```
&SYSTEM
  ibrav = 0, nat = 7, ntyp = 3
/
ATOMIC_SPECIES
Dy 162.50 Dy.upf
Al 26.98 Al.upf
Pd 106.42 Pd.upf
CELL_PARAMETERS angstrom
4.133 0.000 0.000
0.000 4.133 0.000
0.000 0.000 7.032
ATOMIC_POSITIONS angstrom
Dy 0.000 0.000 0.000
Al 2.067 2.067 3.516
Pd 0.000 2.067 2.062
Pd 0.000 2.067 4.970
Pd 2.067 0.000 2.062
Pd 2.067 0.000 4.970
Pd 2.067 2.067 0.000
```


The following is a PBE calculation of an optimized crystal structure of Dy4Al16Pd3, from the Alexandria database. Values from VASP.

Volume (Å³/atom): 18.6
Calculated formation energy (eV/atom): -0.56
Raw total energy (eV per atom): -4.6452
Space group: P4/mmm (123)

```
&SYSTEM
  ibrav = 0, nat = 23, ntyp = 3
/
ATOMIC_SPECIES
Dy 162.50 Dy.upf
Al 26.98 Al.upf
Pd 106.42 Pd.upf
CELL_PARAMETERS angstrom
6.184 0.000 0.000
0.000 6.184 0.000
0.000 0.000 11.175
ATOMIC_POSITIONS angstrom
Dy 0.000 3.092 2.108
Dy 0.000 3.092 9.067
Dy 3.092 0.000 2.108
Dy 3.092 0.000 9.067
Al 0.000 0.000 2.202
Al 0.000 0.000 8.973
Al 1.320 1.320 0.000
Al 1.320 4.864 0.000
Al 1.502 1.502 4.202
Al 1.502 1.502 6.973
Al 1.502 4.682 4.202
Al 1.502 4.682 6.973
Al 3.092 3.092 2.548
Al 3.092 3.092 8.628
Al 4.682 1.502 4.202
Al 4.682 1.502 6.973
Al 4.682 4.682 4.202
Al 4.682 4.682 6.973
Al 4.864 1.320 0.000
Al 4.864 4.864 0.000
Pd 0.000 3.092 5.588
Pd 3.092 0.000 5.588
Pd 3.092 3.092 0.000
```


Q: What is the calculated formation energy in the eleventh record?
A: -0.78 eV/atom


Q: Which value of raw total energy does entry 6 give?
A: -4.9188 eV per atom


Q: Number 7 is which compound?
A: Dy2Al6Pd